Compound: Sc2IrW
Source: Alexandria
Functional: PBE
Structure: relaxed

Computed properties:
Size of the total moment ... 0.00 μB per atom
DFT total energy ... -8.8067 eV per atom
Formation enthalpy at 0 K ... -0.187 eV/atom
SG ... P4/mmm, No. 123
Calculated volume ... 70 Å³ per cell

Cell: 3.062 4.792 4.792 Å, 90.00 90.00 90.00°
Fractional coordinates of all 4 atoms:
Ir (0.500, 0.000, 0.500)
Sc (0.000, 0.000, 0.000)
Sc (0.000, 0.500, 0.500)
W (0.500, 0.500, 0.000)